[1]
A relaxed structure of Cs2HgBr4. Source: Alexandria, functional PBE-GGA.

## Properties
offset from the most stable computed form	2	meV/atom
crystal system	monoclinic

Unit cell a=8.0129 b=10.4182 c=16.6580 alpha=90.00 beta=117.67 gamma=90.00
Last column: nearest neighbours and their distance in Å.
Atoms (fractional coordinates):
Cs 0.0488 0.0066 0.3265  8 Br 3.69-4.05
Cs 0.0488 0.4934 0.8265  8 Br 3.69-4.05
Cs 0.3667 0.1138 0.0983  7 Br 3.70-4.06, 1 Hg 4.13
Cs 0.3667 0.3862 0.5983  7 Br 3.70-4.06, 1 Hg 4.13
Cs 0.6333 0.6138 0.4017  7 Br 3.70-4.06, 1 Hg 4.13
Cs 0.6333 0.8862 0.9017  7 Br 3.70-4.06, 1 Hg 4.13
Cs 0.9512 0.5066 0.1735  8 Br 3.69-4.05
Cs 0.9512 0.9934 0.6735  8 Br 3.69-4.05
Hg 0.3328 0.7185 0.0797  4 Br 2.64-2.69
Hg 0.3328 0.7815 0.5797  4 Br 2.64-2.69
Hg 0.6672 0.2185 0.4203  4 Br 2.64-2.69
Hg 0.6672 0.2815 0.9203  4 Br 2.64-2.69
Br 0.1182 0.6652 0.4208  1 Hg 2.68
Br 0.1182 0.8348 0.9208  1 Hg 2.68
Br 0.2431 0.6974 0.7075  1 Hg 2.69
Br 0.2431 0.8026 0.2075  1 Hg 2.69
Br 0.3044 0.0338 0.5756  1 Hg 2.64
Br 0.3044 0.4662 0.0756  1 Hg 2.64
Br 0.3221 0.1847 0.8692  1 Hg 2.68
Br 0.3221 0.3153 0.3692  1 Hg 2.68
Br 0.6779 0.6847 0.6308  1 Hg 2.68
Br 0.6779 0.8153 0.1308  1 Hg 2.68
Br 0.6956 0.5338 0.9244  1 Hg 2.64
Br 0.6956 0.9662 0.4244  1 Hg 2.64
Br 0.7569 0.1974 0.7925  1 Hg 2.69
Br 0.7569 0.3026 0.2925  1 Hg 2.69
Br 0.8818 0.1652 0.0792  1 Hg 2.68
Br 0.8818 0.3348 0.5792  1 Hg 2.68

[2]
A relaxed structure of CsHg2Br4. Source: Alexandria, functional PBE-GGA.

## Properties
final energy	-1.9791	eV per atom
crystal system	triclinic

Unit cell a=7.2090 b=8.4326 c=10.3716 alpha=105.11 beta=104.81 gamma=92.57
Last column: nearest neighbours and their distance in Å.
Atoms (fractional coordinates):
Cs 0.0000 0.0000 0.0000  8 Br 3.69-3.90
Cs 0.2819 0.0068 0.6362  8 Br 3.68-3.95
Hg 0.4093 0.5771 0.8065  1 Hg 2.68, 3 Br 2.76-2.93
Hg 0.5730 0.4720 0.2334  3 Br 2.53-2.75
Hg 0.6372 0.0043 0.3080  2 Br 2.51-2.53
Hg 0.6950 0.4305 0.7191  1 Hg 2.68, 2 Br 2.71-2.91
Br 0.0292 0.6197 0.7001  2 Hg 2.76-2.91
Br 0.3217 0.3634 0.9707  2 Hg 2.75-2.93
Br 0.3847 0.1966 0.3487  1 Hg 2.53
Br 0.3964 0.7060 0.3425  1 Hg 2.57
Br 0.4851 0.9024 0.9740  1 Hg 2.78
Br 0.8052 0.1226 0.6669  1 Hg 2.71
Br 0.8765 0.3294 0.2689  1 Hg 2.53
Br 0.9109 0.8341 0.2881  1 Hg 2.51

[3]
A relaxed structure of Cs11Hg2Br. Source: Alexandria, functional PBE-GGA.

## Properties
final energy	-1.0812	eV per atom
crystal system	orthorhombic

Unit cell a=15.5139 b=15.5139 c=15.5139 alpha=125.68 beta=105.98 gamma=98.13
Last column: nearest neighbours and their distance in Å.
Atoms (fractional coordinates):
Cs 0.0000 0.0000 0.0000  2 Hg 3.77
Cs 0.0722 0.2152 0.6183  1 Hg 3.90
Cs 0.0944 0.4462 0.2869  1 Br 3.63
Cs 0.0969 0.7152 0.1430  1 Hg 3.90
Cs 0.1593 0.8075 0.7131  1 Br 3.63
Cs 0.2281 0.1178 0.3459  2 Hg 3.76-4.13
Cs 0.2719 0.6178 0.8896  2 Hg 3.76-4.13
Cs 0.3407 0.0538 0.6482  1 Br 3.63
Cs 0.4031 0.5461 0.6183  1 Hg 3.90
Cs 0.4056 0.6925 0.3518  1 Br 3.63
Cs 0.4278 0.0461 0.1430  1 Hg 3.90
Cs 0.5000 0.5000 0.0000  2 Hg 3.77
Cs 0.5722 0.9539 0.8570  1 Hg 3.90
Cs 0.5944 0.3075 0.6482  1 Br 3.63
Cs 0.5969 0.4539 0.3817  1 Hg 3.90
Cs 0.6593 0.9462 0.3518  1 Br 3.63
Cs 0.7281 0.3822 0.1104  2 Hg 3.76-4.13
Cs 0.7719 0.8822 0.6541  2 Hg 3.76-4.13
Cs 0.8407 0.1925 0.2869  1 Br 3.63
Cs 0.9031 0.2848 0.8570  1 Hg 3.90
Cs 0.9056 0.5538 0.7131  1 Br 3.63
Cs 0.9278 0.7848 0.3817  1 Hg 3.90
Hg 0.1613 0.8399 0.0012  7 Cs 3.76-4.19
Hg 0.3387 0.3399 0.6786  7 Cs 3.76-4.19
Hg 0.6613 0.6601 0.3214  7 Cs 3.76-4.19
Hg 0.8387 0.1601 0.9988  7 Cs 3.76-4.19
Br 0.2500 0.7500 0.5000  4 Cs 3.63
Br 0.7500 0.2500 0.5000  4 Cs 3.63

[4]
A relaxed structure of CsHg2Br. Source: Alexandria, functional PBE-GGA.

## Properties
offset from the most stable computed form	33	meV/atom
crystal system	monoclinic

Unit cell a=6.6830 b=6.6830 c=7.8926 alpha=90.00 beta=90.04 gamma=90.00
Last column: nearest neighbours and their distance in Å.
Atoms (fractional coordinates):
Cs 0.0000 0.0000 0.0000  4 Br 3.56, 2 Hg 3.91-3.98
Cs 0.5000 0.5000 0.0000  4 Br 3.56, 2 Hg 3.91-3.98
Hg 0.0021 0.0000 0.5047  4 Hg 3.44
Hg 0.0018 0.5000 0.4031  4 Hg 3.44, 1 Br 3.49
Hg 0.5018 0.0000 0.4031  4 Hg 3.44, 1 Br 3.49
Hg 0.5021 0.5000 0.5047  4 Hg 3.44
Br 0.9998 0.5000 0.8454  1 Hg 3.49, 4 Cs 3.56
Br 0.4998 0.0000 0.8454  1 Hg 3.49, 4 Cs 3.56

[5]
A relaxed structure of CsHg3Br3. Source: Alexandria, functional PBE-GGA.

## Properties
final energy	-1.3513	eV per atom
crystal system	cubic

Unit cell a=8.7621 b=8.7621 c=8.7621 alpha=90.00 beta=90.00 gamma=90.00
Last column: nearest neighbours and their distance in Å.
Atoms (fractional coordinates):
Cs 0.0000 0.0000 0.0000  12 Hg 4.90, 12 Br 4.90
Cs 0.5000 0.5000 0.5000  12 Hg 4.90, 12 Br 4.90
Hg 0.0000 0.2500 0.5000  4 Br 3.10
Hg 0.0000 0.7500 0.5000  4 Br 3.10
Hg 0.2500 0.5000 0.0000  4 Br 3.10
Hg 0.5000 0.0000 0.2500  4 Br 3.10
Hg 0.5000 0.0000 0.7500  4 Br 3.10
Hg 0.7500 0.5000 0.0000  4 Br 3.10
Br 0.0000 0.5000 0.2500  4 Hg 3.10
Br 0.0000 0.5000 0.7500  4 Hg 3.10
Br 0.2500 0.0000 0.5000  4 Hg 3.10
Br 0.5000 0.2500 0.0000  4 Hg 3.10
Br 0.5000 0.7500 0.0000  4 Hg 3.10
Br 0.7500 0.0000 0.5000  4 Hg 3.10

[6]
A relaxed structure of CsHg2Br. Source: Alexandria, functional PBE-GGA.

## Properties
offset from the most stable computed form	41	meV/atom
crystal system	monoclinic

Unit cell a=9.9915 b=5.7171 c=6.6322 alpha=90.00 beta=119.55 gamma=90.00
Last column: nearest neighbours and their distance in Å.
Atoms (fractional coordinates):
Cs 0.0000 0.0000 0.0000  3 Br 3.64-3.65, 4 Hg 3.83-3.85
Cs 0.5000 0.5000 0.0000  3 Br 3.64-3.65, 4 Hg 3.83-3.85
Hg 0.2780 0.5000 0.3369  3 Hg 3.38
Hg 0.4826 0.0000 0.4482  3 Hg 3.38, 3 Br 3.71
Hg 0.7780 0.0000 0.3369  3 Hg 3.38
Hg 0.9826 0.5000 0.4482  3 Hg 3.38, 3 Br 3.71
Br 0.2452 0.0000 0.7367  3 Cs 3.64-3.65, 6 Hg 3.71-4.08
Br 0.7452 0.5000 0.7367  3 Cs 3.64-3.65, 6 Hg 3.71-4.08

[7]
A relaxed structure of Cs8Hg6Br. Source: Alexandria, functional PBE-GGA.

## Properties
final energy	-1.0771	eV per atom
crystal system	trigonal

Unit cell a=10.0293 b=10.0293 c=10.0293 alpha=74.63 beta=74.63 gamma=74.63
Last column: nearest neighbours and their distance in Å.
Atoms (fractional coordinates):
Cs 0.1774 0.1774 0.1774  6 Hg 3.83-3.85
Cs 0.1769 0.3653 0.6660  1 Br 3.66, 2 Hg 3.95-3.97
Cs 0.3340 0.8231 0.6347  1 Br 3.66, 2 Hg 3.95-3.97
Cs 0.3653 0.6660 0.1769  1 Br 3.66, 2 Hg 3.95-3.97
Cs 0.6347 0.3340 0.8231  1 Br 3.66, 2 Hg 3.95-3.97
Cs 0.6660 0.1769 0.3653  1 Br 3.66, 2 Hg 3.95-3.97
Cs 0.8231 0.6347 0.3340  1 Br 3.66, 2 Hg 3.95-3.97
Cs 0.8226 0.8226 0.8226  6 Hg 3.83-3.85
Hg 0.0246 0.8692 0.4369  1 Hg 3.08
Hg 0.1308 0.5631 0.9754  1 Hg 3.08
Hg 0.4369 0.0246 0.8692  1 Hg 3.08
Hg 0.5631 0.9754 0.1308  1 Hg 3.08
Hg 0.8692 0.4369 0.0246  1 Hg 3.08
Hg 0.9754 0.1308 0.5631  1 Hg 3.08
Br 0.5000 0.5000 0.5000  6 Cs 3.66

[8]
A relaxed structure of Cs2HgBr. Source: Alexandria, functional PBE-GGA.

## Properties
offset from the most stable computed form	59	meV/atom
crystal system	tetragonal

Unit cell a=4.5036 b=4.5036 c=9.2104 alpha=90.00 beta=90.00 gamma=90.00
Last column: nearest neighbours and their distance in Å.
Atoms (fractional coordinates):
Cs 0.0000 0.0000 0.2284  4 Br 3.82, 4 Hg 4.05, 1 Cs 4.21
Cs 0.0000 0.0000 0.7716  4 Br 3.82, 4 Hg 4.05, 1 Cs 4.21
Hg 0.5000 0.5000 0.5000  8 Cs 4.05, 4 Hg 4.50
Br 0.5000 0.5000 0.0000  8 Cs 3.82

Which formula does entry 5 have?
CsHg3Br3